# Mg2Ga4Rh | Alexandria via LeMat-Bulk | PBE | optimized geometry
data_Mg2Ga4Rh
_space_group_name_H-M_alt 'I 4/m m m'
_space_group_IT_number 139
_space_group_name_Hall '-I 4 2'
_cell_length_a 4.832
_cell_length_b 4.832
_cell_length_c 13.386
_cell_angle_alpha 90.00
_cell_angle_beta 90.00
_cell_angle_gamma 90.00
loop_
_atom_site_label
_atom_site_fract_x
_atom_site_fract_y
_atom_site_fract_z
Mg1 0.000 0.000 0.119
Ga1 0.000 0.000 0.316
Ga2 0.000 0.500 0.000
Rh1 0.000 0.000 0.500
# Mass density ... 4.57 g/cm3
# Polymorph energy (0 for the lowest one) ... 0.123 eV per atom
# V ... 22.3 Å³ per atom
# E ... -3.253 eV/atom
# Total magnetization ... 0.000 μB/f.u.
# ΔH_f (0 K) ... -0.018 eV/atom

***

# Mg2GaRh2 | Alexandria via LeMat-Bulk | PBE | optimized geometry
data_Mg2GaRh2
_space_group_name_H-M_alt 'P 4/m b m'
_space_group_IT_number 127
_space_group_name_Hall '-P 4 2ab'
_cell_length_a 6.399
_cell_length_b 6.399
_cell_length_c 4.094
_cell_angle_alpha 90.00
_cell_angle_beta 90.00
_cell_angle_gamma 90.00
loop_
_atom_site_label
_atom_site_fract_x
_atom_site_fract_y
_atom_site_fract_z
Mg1 0.162 0.338 0.000
Ga1 0.000 0.000 0.500
Rh1 0.145 0.645 0.500
# Mass density ... 6.42 g/cm3
# V ... 16.8 Å³ per atom
# E ... -4.784 eV/atom
# Total magnetization ... 0.000 μB/f.u.
# ΔH_f (0 K) ... -0.600 eV/atom

***

# MgGaRh3 | Alexandria via LeMat-Bulk | PBE | optimized geometry
data_MgGaRh3
_space_group_name_H-M_alt 'P m -3 m'
_space_group_IT_number 221
_space_group_name_Hall '-P 4 2 3'
_cell_length_a 4.555
_cell_length_b 4.555
_cell_length_c 4.555
_cell_angle_alpha 90.00
_cell_angle_beta 90.00
_cell_angle_gamma 90.00
loop_
_atom_site_label
_atom_site_fract_x
_atom_site_fract_y
_atom_site_fract_z
Mg1 0.000 0.000 0.000
Ga1 0.500 0.500 0.500
Rh1 0.000 0.500 0.500
# Mass density ... 7.08 g/cm3
# Polymorph energy (0 for the lowest one) ... 0.000 eV per atom
# V ... 18.9 Å³ per atom
# E ... -4.989 eV/atom
# Total magnetization ... 1.465 μB/f.u.
# ΔH_f (0 K) ... 0.346 eV/atom

***

# MgGaRh3 | Alexandria via LeMat-Bulk | PBE | optimized geometry
data_MgGaRh3
_space_group_name_H-M_alt 'P m -3 m'
_space_group_IT_number 221
_space_group_name_Hall '-P 4 2 3'
_cell_length_a 4.478
_cell_length_b 4.478
_cell_length_c 4.478
_cell_angle_alpha 90.00
_cell_angle_beta 90.00
_cell_angle_gamma 90.00
loop_
_atom_site_label
_atom_site_fract_x
_atom_site_fract_y
_atom_site_fract_z
Mg1 0.000 0.000 0.000
Ga1 0.500 0.500 0.500
Rh1 0.000 0.000 0.500
# Mass density ... 7.45 g/cm3
# Polymorph energy (0 for the lowest one) ... 0.546 eV per atom
# V ... 18.0 Å³ per atom
# E ... -4.443 eV/atom
# Total magnetization ... 0.000 μB/f.u.
# ΔH_f (0 K) ... 0.892 eV/atom

***

# Mg3Ga4Rh4 | Alexandria via LeMat-Bulk | PBE | optimized geometry
data_Mg3Ga4Rh4
_space_group_name_H-M_alt 'I m m m'
_space_group_IT_number 71
_space_group_name_Hall '-I 2 2'
_cell_length_a 3.043
_cell_length_b 7.917
_cell_length_c 14.856
_cell_angle_alpha 90.00
_cell_angle_beta 90.00
_cell_angle_gamma 90.00
loop_
_atom_site_label
_atom_site_fract_x
_atom_site_fract_y
_atom_site_fract_z
Mg1 0.000 0.000 0.000
Mg2 0.000 0.500 0.099
Ga1 0.000 0.302 0.339
Rh1 0.000 0.000 0.250
Rh2 0.000 0.215 0.500
# Mass density ... 7.08 g/cm3
# Polymorph energy (0 for the lowest one) ... 0.000 eV per atom
# V ... 16.3 Å³ per atom
# E ... -4.727 eV/atom
# Total magnetization ... 0.000 μB/f.u.
# ΔH_f (0 K) ... -0.518 eV/atom

***

# Mg2Ga6Rh | Alexandria via LeMat-Bulk | PBE | optimized geometry
data_Mg2Ga6Rh
_space_group_name_H-M_alt 'P -3 m 1'
_space_group_IT_number 164
_space_group_name_Hall '-P 3 2"'
_cell_length_a 5.3637
_cell_length_b 5.3637
_cell_length_c 6.4207
_cell_angle_alpha 90.00
_cell_angle_beta 90.00
_cell_angle_gamma 120.00
loop_
_atom_site_label
_atom_site_fract_x
_atom_site_fract_y
_atom_site_fract_z
Mg1 0.3333 0.6667 0.4221
Ga1 0.1692 0.3383 0.8246
Rh1 0.0000 0.0000 0.5000
# Mass density ... 5.92 g/cm3
# V ... 17.8 Å³ per atom
# E ... -3.430 eV/atom
# Total magnetization ... 0.000 μB/f.u.
# ΔH_f (0 K) ... -0.241 eV/atom

***

# Mg2Ga3Rh | Alexandria via LeMat-Bulk | PBE | optimized geometry
data_Mg2Ga3Rh
_space_group_name_H-M_alt 'I m m a'
_space_group_IT_number 74
_space_group_name_Hall '-I 2b 2'
_cell_length_a 4.177
_cell_length_b 7.850
_cell_length_c 12.304
_cell_angle_alpha 90.00
_cell_angle_beta 90.00
_cell_angle_gamma 90.00
loop_
_atom_site_label
_atom_site_fract_x
_atom_site_fract_y
_atom_site_fract_z
Mg1 0.000 0.250 0.005
Mg2 0.000 0.250 0.328
Ga1 0.000 0.000 0.500
Ga2 0.000 0.032 0.824
Rh1 0.000 0.250 0.649
# Mass density ... 5.94 g/cm3
# V ... 16.8 Å³ per atom
# E ... -3.540 eV/atom
# Total magnetization ... 0.000 μB/f.u.
# ΔH_f (0 K) ... -0.270 eV/atom

***

# Mg2Ga8Rh | Alexandria via LeMat-Bulk | PBE | optimized geometry
data_Mg2Ga8Rh
_space_group_name_H-M_alt 'P 4/m m m'
_space_group_IT_number 123
_space_group_name_Hall '-P 4 2'
_cell_length_a 4.283
_cell_length_b 4.283
_cell_length_c 10.862
_cell_angle_alpha 90.00
_cell_angle_beta 90.00
_cell_angle_gamma 90.00
loop_
_atom_site_label
_atom_site_fract_x
_atom_site_fract_y
_atom_site_fract_z
Mg1 0.000 0.000 0.188
Ga1 0.000 0.500 0.000
Ga2 0.000 0.500 0.372
Ga3 0.500 0.500 0.188
Rh1 0.000 0.000 0.500
# Mass density ... 5.91 g/cm3
# V ... 18.1 Å³ per atom
# E ... -3.357 eV/atom
# Total magnetization ... 0.000 μB/f.u.
# ΔH_f (0 K) ... -0.198 eV/atom

***

# MgGa4Rh2 | Alexandria via LeMat-Bulk | PBE | optimized geometry
data_MgGa4Rh2
_space_group_name_H-M_alt 'P 42/m n m'
_space_group_IT_number 136
_space_group_name_Hall '-P 4n 2n'
_cell_length_a 8.816
_cell_length_b 8.816
_cell_length_c 2.968
_cell_angle_alpha 90.00
_cell_angle_beta 90.00
_cell_angle_gamma 90.00
loop_
_atom_site_label
_atom_site_fract_x
_atom_site_fract_y
_atom_site_fract_z
Mg1 0.000 0.000 0.000
Ga1 0.070 0.305 0.500
Rh1 0.192 0.808 0.500
# Mass density ... 7.33 g/cm3
# Polymorph energy (0 for the lowest one) ... 0.000 eV per atom
# V ... 16.5 Å³ per atom
# E ... -4.541 eV/atom
# Total magnetization ... 0.000 μB/f.u.
# ΔH_f (0 K) ... -0.483 eV/atom

***

# Mg2Ga5Rh3 | Alexandria via LeMat-Bulk | PBE | optimized geometry
data_Mg2Ga5Rh3
_space_group_name_H-M_alt 'C 1 2/c 1'
_space_group_IT_number 15
_space_group_name_Hall '-C 2yc'
_cell_length_a 9.821
_cell_length_b 12.248
_cell_length_c 5.462
_cell_angle_alpha 90.00
_cell_angle_beta 100.67
_cell_angle_gamma 90.00
loop_
_atom_site_label
_atom_site_fract_x
_atom_site_fract_y
_atom_site_fract_z
Mg1 0.117 0.223 0.093
Ga1 0.000 0.009 0.250
Ga2 0.122 0.347 0.587
Ga3 0.224 0.456 0.041
Rh1 0.000 0.483 0.250
Rh2 0.149 0.145 0.588
# Mass density ... 7.26 g/cm3
# Polymorph energy (0 for the lowest one) ... 0.000 eV per atom
# V ... 16.1 Å³ per atom
# E ... -4.536 eV/atom
# Total magnetization ... 0.000 μB/f.u.
# ΔH_f (0 K) ... -0.498 eV/atom

***

# Mg3Ga5Rh2 | Alexandria via LeMat-Bulk | PBE | optimized geometry
data_Mg3Ga5Rh2
_space_group_name_H-M_alt 'I b a m'
_space_group_IT_number 72
_space_group_name_Hall '-I 2 2c'
_cell_length_a 10.807
_cell_length_b 12.380
_cell_length_c 5.420
_cell_angle_alpha 90.00
_cell_angle_beta 90.00
_cell_angle_gamma 90.00
loop_
_atom_site_label
_atom_site_fract_x
_atom_site_fract_y
_atom_site_fract_z
Mg1 0.000 0.000 0.250
Mg2 0.108 0.220 0.000
Ga1 0.000 0.500 0.250
Ga2 0.126 0.346 0.500
Ga3 0.249 0.000 0.250
Rh1 0.143 0.148 0.500
# Mass density ... 5.75 g/cm3
# V ... 18.1 Å³ per atom
# E ... -3.731 eV/atom
# Total magnetization ... 0.000 μB/f.u.
# ΔH_f (0 K) ... -0.269 eV/atom

***

# Mg2Ga2Rh | Alexandria via LeMat-Bulk | PBE | optimized geometry
data_Mg2Ga2Rh
_space_group_name_H-M_alt 'I b a m'
_space_group_IT_number 72
_space_group_name_Hall '-I 2 2c'
_cell_length_a 5.793
_cell_length_b 11.441
_cell_length_c 5.723
_cell_angle_alpha 90.00
_cell_angle_beta 90.00
_cell_angle_gamma 90.00
loop_
_atom_site_label
_atom_site_fract_x
_atom_site_fract_y
_atom_site_fract_z
Mg1 0.205 0.173 0.000
Ga1 0.177 0.420 0.000
Rh1 0.000 0.000 0.250
# Mass density ... 5.09 g/cm3
# Polymorph energy (0 for the lowest one) ... 0.000 eV per atom
# V ... 19.0 Å³ per atom
# E ... -3.655 eV/atom
# Total magnetization ... 0.000 μB/f.u.
# ΔH_f (0 K) ... -0.336 eV/atom

***

# Mg5Ga2Rh4 | Alexandria via LeMat-Bulk | PBE | optimized geometry
data_Mg5Ga2Rh4
_space_group_name_H-M_alt 'C 1 2/m 1'
_space_group_IT_number 12
_space_group_name_Hall '-C 2y'
_cell_length_a 19.893
_cell_length_b 2.955
_cell_length_c 7.026
_cell_angle_alpha 90.00
_cell_angle_beta 108.29
_cell_angle_gamma 90.00
loop_
_atom_site_label
_atom_site_fract_x
_atom_site_fract_y
_atom_site_fract_z
Mg1 0.000 0.000 0.000
Mg2 0.149 0.500 0.214
Mg3 0.200 0.500 0.663
Ga1 0.054 0.500 0.426
Rh1 0.072 0.500 0.797
Rh2 0.190 0.000 0.968
# Mass density ... 5.70 g/cm3
# Polymorph energy (0 for the lowest one) ... 0.321 eV per atom
# V ... 17.8 Å³ per atom
# E ... -4.165 eV/atom
# Total magnetization ... 0.000 μB/f.u.
# ΔH_f (0 K) ... -0.216 eV/atom

***

# MgGa2Rh2 | Alexandria via LeMat-Bulk | PBE | optimized geometry
data_MgGa2Rh2
_space_group_name_H-M_alt 'P 4/m b m'
_space_group_IT_number 127
_space_group_name_Hall '-P 4 2ab'
_cell_length_a 7.204
_cell_length_b 7.204
_cell_length_c 2.980
_cell_angle_alpha 90.00
_cell_angle_beta 90.00
_cell_angle_gamma 90.00
loop_
_atom_site_label
_atom_site_fract_x
_atom_site_fract_y
_atom_site_fract_z
Mg1 0.000 0.000 0.000
Ga1 0.149 0.351 0.500
Rh1 0.149 0.649 0.000
# Mass density ... 7.93 g/cm3
# Polymorph energy (0 for the lowest one) ... 0.015 eV per atom
# V ... 15.5 Å³ per atom
# E ... -5.098 eV/atom
# Total magnetization ... 0.000 μB/f.u.
# ΔH_f (0 K) ... -0.628 eV/atom

***

# MgGa5Rh | Alexandria via LeMat-Bulk | PBE | optimized geometry
data_MgGa5Rh
_space_group_name_H-M_alt 'P 4/m m m'
_space_group_IT_number 123
_space_group_name_Hall '-P 4 2'
_cell_length_a 4.323
_cell_length_b 4.323
_cell_length_c 6.635
_cell_angle_alpha 90.00
_cell_angle_beta 90.00
_cell_angle_gamma 90.00
loop_
_atom_site_label
_atom_site_fract_x
_atom_site_fract_y
_atom_site_fract_z
Mg1 0.000 0.000 0.000
Ga1 0.000 0.500 0.290
Ga2 0.500 0.500 0.000
Rh1 0.000 0.000 0.500
# Mass density ... 6.37 g/cm3
# V ... 17.7 Å³ per atom
# E ... -3.706 eV/atom
# Total magnetization ... 0.000 μB/f.u.
# ΔH_f (0 K) ... -0.265 eV/atom

***

# Mg3Ga4Rh2 | Alexandria via LeMat-Bulk | PBE | optimized geometry
data_Mg3Ga4Rh2
_space_group_name_H-M_alt 'C 1 2/m 1'
_space_group_IT_number 12
_space_group_name_Hall '-C 2y'
_cell_length_a 9.770
_cell_length_b 4.388
_cell_length_c 7.351
_cell_angle_alpha 90.00
_cell_angle_beta 106.33
_cell_angle_gamma 90.00
loop_
_atom_site_label
_atom_site_fract_x
_atom_site_fract_y
_atom_site_fract_z
Mg1 0.000 0.000 0.000
Mg2 0.042 0.500 0.323
Ga1 0.144 0.000 0.565
Ga2 0.194 0.500 0.057
Rh1 0.249 0.000 0.267
# Mass density ... 6.12 g/cm3
# V ... 16.8 Å³ per atom
# E ... -3.975 eV/atom
# Total magnetization ... 0.000 μB/f.u.
# ΔH_f (0 K) ... -0.465 eV/atom

***

# Mg3GaRh3 | Alexandria via LeMat-Bulk | PBE | optimized geometry
data_Mg3GaRh3
_space_group_name_H-M_alt 'C m m m'
_space_group_IT_number 65
_space_group_name_Hall '-C 2 2'
_cell_length_a 8.421
_cell_length_b 8.990
_cell_length_c 6.153
_cell_angle_alpha 90.00
_cell_angle_beta 90.00
_cell_angle_gamma 90.00
loop_
_atom_site_label
_atom_site_fract_x
_atom_site_fract_y
_atom_site_fract_z
Mg1 0.000 0.244 0.000
Mg2 0.226 0.500 0.500
Mg3 0.247 0.500 0.000
Ga1 0.000 0.228 0.500
Rh1 0.000 0.000 0.257
Rh2 0.250 0.250 0.261
# Mass density ... 6.44 g/cm3
# V ... 16.6 Å³ per atom
# E ... -4.834 eV/atom
# Total magnetization ... 0.000 μB/f.u.
# ΔH_f (0 K) ... -0.567 eV/atom

***

# Mg2GaRh2 | Alexandria via LeMat-Bulk | PBE | optimized geometry
data_Mg2GaRh2
_space_group_name_H-M_alt 'P 4/m b m'
_space_group_IT_number 127
_space_group_name_Hall '-P 4 2ab'
_cell_length_a 7.229
_cell_length_b 7.229
_cell_length_c 3.032
_cell_angle_alpha 90.00
_cell_angle_beta 90.00
_cell_angle_gamma 90.00
loop_
_atom_site_label
_atom_site_fract_x
_atom_site_fract_y
_atom_site_fract_z
Mg1 0.130 0.370 0.000
Ga1 0.000 0.000 0.000
Rh1 0.170 0.670 0.500
# Mass density ... 6.79 g/cm3
# V ... 15.8 Å³ per atom
# E ... -4.436 eV/atom
# Total magnetization ... 0.000 μB/f.u.
# ΔH_f (0 K) ... -0.253 eV/atom

***

# Mg8GaRh2 | Alexandria via LeMat-Bulk | PBE | optimized geometry
data_Mg8GaRh2
_space_group_name_H-M_alt 'C 1 2/m 1'
_space_group_IT_number 12
_space_group_name_Hall '-C 2y'
_cell_length_a 14.618
_cell_length_b 4.482
_cell_length_c 6.853
_cell_angle_alpha 90.00
_cell_angle_beta 113.30
_cell_angle_gamma 90.00
loop_
_atom_site_label
_atom_site_fract_x
_atom_site_fract_y
_atom_site_fract_z
Mg1 0.035 0.000 0.231
Mg2 0.120 0.500 0.956
Mg3 0.167 0.000 0.735
Mg4 0.177 0.500 0.421
Ga1 0.000 0.500 0.500
Rh1 0.204 0.000 0.159
# Mass density ... 3.79 g/cm3
# V ... 18.7 Å³ per atom
# E ... -3.063 eV/atom
# Total magnetization ... 0.000 μB/f.u.
# ΔH_f (0 K) ... -0.292 eV/atom

***

# Mg6Ga2Rh | Alexandria via LeMat-Bulk | PBE | optimized geometry
data_Mg6Ga2Rh
_space_group_name_H-M_alt 'C 1 2/m 1'
_space_group_IT_number 12
_space_group_name_Hall '-C 2y'
_cell_length_a 14.424
_cell_length_b 6.459
_cell_length_c 4.482
_cell_angle_alpha 90.00
_cell_angle_beta 108.02
_cell_angle_gamma 90.00
loop_
_atom_site_label
_atom_site_fract_x
_atom_site_fract_y
_atom_site_fract_z
Mg1 0.000 0.234 0.000
Mg2 0.160 0.239 0.660
Ga1 0.167 0.500 0.167
Rh1 0.000 0.000 0.500
# Mass density ... 3.25 g/cm3
# V ... 22.1 Å³ per atom
# E ... -2.666 eV/atom
# Total magnetization ... 0.000 μB/f.u.
# ΔH_f (0 K) ... -0.113 eV/atom